Below is a relaxed TlInSN2 crystal, with properties calculated at the GGA-PBEsol level.

Computed properties:
For the density of states at the Fermi level, the calculation gives 2.2 states/eV per cell. The calculation puts the formation energy (no corrections) at 1.172 eV/atom. The value obtained for the total magnetization is 3.65 μB per cell.

Unit cell a=4.2940 b=4.2940 c=5.2774 alpha=90.00 beta=90.00 gamma=90.00
Space group P4/mmm (No. 123)
Symmetry-distinct sites (fractional):
Tl: 0.0000 0.0000 0.0000 x1
In: 0.5000 0.5000 0.5000 x1
S: 0.5000 0.5000 0.0000 x1
N: 0.0000 0.5000 0.5000 x2